Record 1
# BePt2Br GGA-PBEsol optimized geometry
# * formation energy (no corrections): 0.09 eV per atom
# * total energy: -0.1787 Ha/atom
# * D(E_F): 0.577 states/eV per atom
data_BePt2Br
_symmetry_space_group_name_H-M 'P 1'
_symmetry_Int_Tables_number 1
_cell_length_a 4.241
_cell_length_b 3.645
_cell_length_c 4.285
_cell_angle_alpha 90.00
_cell_angle_beta 103.57
_cell_angle_gamma 90.00
loop_
_symmetry_equiv_pos_as_xyz
'x,y,z'
loop_
_atom_site_label
_atom_site_fract_x
_atom_site_fract_y
_atom_site_fract_z
Be1 0.000 0.000 0.000
Pt1 0.201 0.500 0.799
Pt2 0.799 0.500 0.201
Br1 0.500 0.000 0.500


Record 2
# BePtSe2Br GGA-PBEsol optimized geometry
# * formation energy (no corrections): 0.59 eV per atom
# * total energy: -0.1293 Ha/atom
# * D(E_F): 0.874 states/eV per atom
data_BePtSe2Br
_symmetry_space_group_name_H-M 'P 1'
_symmetry_Int_Tables_number 1
_cell_length_a 4.588
_cell_length_b 4.588
_cell_length_c 4.299
_cell_angle_alpha 90.00
_cell_angle_beta 90.00
_cell_angle_gamma 90.00
loop_
_symmetry_equiv_pos_as_xyz
'x,y,z'
loop_
_atom_site_label
_atom_site_fract_x
_atom_site_fract_y
_atom_site_fract_z
Be1 0.000 0.000 0.000
Pt1 0.500 0.500 0.500
Se1 0.000 0.500 0.000
Se2 0.500 0.000 0.000
Br1 0.000 0.000 0.500


Record 3
# Be2ReSnBr GGA-PBEsol optimized geometry
# * formation energy (no corrections): 1.59 eV per atom
# * total energy: -0.1435 Ha/atom
# * D(E_F): 0.853 states/eV per atom
data_Be2ReSnBr
_symmetry_space_group_name_H-M 'P 1'
_symmetry_Int_Tables_number 1
_cell_length_a 4.187
_cell_length_b 4.187
_cell_length_c 4.896
_cell_angle_alpha 90.00
_cell_angle_beta 90.00
_cell_angle_gamma 90.00
loop_
_symmetry_equiv_pos_as_xyz
'x,y,z'
loop_
_atom_site_label
_atom_site_fract_x
_atom_site_fract_y
_atom_site_fract_z
Be1 0.000 0.500 0.000
Be2 0.500 0.000 0.000
Re1 0.000 0.000 0.500
Sn1 0.500 0.500 0.500
Br1 0.000 0.000 0.000


Record 4
# BeRh2Br GGA-PBEsol optimized geometry
# * formation energy (no corrections): 0.32 eV per atom
# * total energy: -0.1917 Ha/atom
# * D(E_F): 0.854 states/eV per atom
data_BeRh2Br
_symmetry_space_group_name_H-M 'P 1'
_symmetry_Int_Tables_number 1
_cell_length_a 4.257
_cell_length_b 4.257
_cell_length_c 2.963
_cell_angle_alpha 90.00
_cell_angle_beta 90.00
_cell_angle_gamma 92.77
loop_
_symmetry_equiv_pos_as_xyz
'x,y,z'
loop_
_atom_site_label
_atom_site_fract_x
_atom_site_fract_y
_atom_site_fract_z
Be1 0.000 0.000 0.000
Rh1 0.000 0.500 0.500
Rh2 0.500 0.000 0.500
Br1 0.500 0.500 0.000


Record 5
# BeRh2Br GGA-PBEsol optimized geometry
# * formation energy (no corrections): 0.32 eV per atom
# * total energy: -0.1916 Ha/atom
# * D(E_F): 0.818 states/eV per atom
data_BeRh2Br
_symmetry_space_group_name_H-M 'P 1'
_symmetry_Int_Tables_number 1
_cell_length_a 5.172
_cell_length_b 5.172
_cell_length_c 5.172
_cell_angle_alpha 147.06
_cell_angle_beta 132.14
_cell_angle_gamma 59.32
loop_
_symmetry_equiv_pos_as_xyz
'x,y,z'
loop_
_atom_site_label
_atom_site_fract_x
_atom_site_fract_y
_atom_site_fract_z
Be1 0.000 0.000 0.000
Rh1 0.197 0.697 0.500
Rh2 0.803 0.303 0.500
Br1 0.500 0.500 0.000


Record 6
# Be2TcRhBr GGA-PBEsol optimized geometry
# * formation energy (no corrections): 1.24 eV per atom
# * total energy: -0.1696 Ha/atom
# * D(E_F): 1.024 states/eV per atom
data_Be2TcRhBr
_symmetry_space_group_name_H-M 'P 1'
_symmetry_Int_Tables_number 1
_cell_length_a 4.096
_cell_length_b 4.096
_cell_length_c 4.969
_cell_angle_alpha 90.00
_cell_angle_beta 90.00
_cell_angle_gamma 90.00
loop_
_symmetry_equiv_pos_as_xyz
'x,y,z'
loop_
_atom_site_label
_atom_site_fract_x
_atom_site_fract_y
_atom_site_fract_z
Be1 0.000 0.500 0.000
Be2 0.500 0.000 0.000
Tc1 0.000 0.000 0.500
Rh1 0.500 0.500 0.000
Br1 0.500 0.500 0.500


What did the second record say?
# BePtSe2Br GGA-PBEsol optimized geometry
# * formation energy (no corrections): 0.59 eV per atom
# * total energy: -0.1293 Ha/atom
# * D(E_F): 0.874 states/eV per atom
data_BePtSe2Br
_symmetry_space_group_name_H-M 'P 1'
_symmetry_Int_Tables_number 1
_cell_length_a 4.588
_cell_length_b 4.588
_cell_length_c 4.299
_cell_angle_alpha 90.00
_cell_angle_beta 90.00
_cell_angle_gamma 90.00
loop_
_symmetry_equiv_pos_as_xyz
'x,y,z'
loop_
_atom_site_label
_atom_site_fract_x
_atom_site_fract_y
_atom_site_fract_z
Be1 0.000 0.000 0.000
Pt1 0.500 0.500 0.500
Se1 0.000 0.500 0.000
Se2 0.500 0.000 0.000
Br1 0.000 0.000 0.500


Copy entry 2 word for word.
# BePtSe2Br GGA-PBEsol optimized geometry
# * formation energy (no corrections): 0.59 eV per atom
# * total energy: -0.1293 Ha/atom
# * D(E_F): 0.874 states/eV per atom
data_BePtSe2Br
_symmetry_space_group_name_H-M 'P 1'
_symmetry_Int_Tables_number 1
_cell_length_a 4.588
_cell_length_b 4.588
_cell_length_c 4.299
_cell_angle_alpha 90.00
_cell_angle_beta 90.00
_cell_angle_gamma 90.00
loop_
_symmetry_equiv_pos_as_xyz
'x,y,z'
loop_
_atom_site_label
_atom_site_fract_x
_atom_site_fract_y
_atom_site_fract_z
Be1 0.000 0.000 0.000
Pt1 0.500 0.500 0.500
Se1 0.000 0.500 0.000
Se2 0.500 0.000 0.000
Br1 0.000 0.000 0.500


Look up the formation energy (no corrections) of the second one.
0.59 eV per atom


What is the total energy in the fifth record?
-0.1916 Ha/atom